# 1
Computed, not measured: ThMg3Rh after structural relaxation at the PBE-GGA level of DFT.

Density of states at the Fermi level = 0.524 states/eV per atom
Total energy = -4.273 eV/atom
SG = P2_1/m, No. 11
Formation enthalpy at 0 K = -175 kJ/mol of formula units

Unit cell a=5.4764 b=5.8871 c=7.7726 alpha=90.00 beta=113.31 gamma=90.00
Closest atoms and distances in Å follow each position.
Atoms (fractional coordinates):
Th (0.7264, 0.9476, 0.8728)  2 Rh 2.74-2.99
Mg (0.7219, 0.1967, 0.4780)  2 Rh 2.78-2.98, 3 Mg 2.93-3.00
Mg (0.8781, 0.4476, 0.1754)  1 Rh 2.82, 2 Mg 3.11
Mg (0.1562, 0.9476, 0.3852)  1 Rh 2.82, 2 Mg 3.11
Th (0.3079, 0.4476, 0.6878)  2 Rh 2.74-2.99
Mg (0.3124, 0.1985, 0.0826)  2 Rh 2.78-2.98, 3 Mg 2.93-3.00
Mg (0.7219, 0.6985, 0.4780)  2 Rh 2.78-2.98, 3 Mg 2.93-3.00
Rh (0.8496, 0.4476, 0.8048)  2 Th 2.74-2.99, 5 Mg 2.78-2.98
Rh (0.1848, 0.9476, 0.7558)  2 Th 2.74-2.99, 5 Mg 2.78-2.98
Mg (0.3124, 0.6967, 0.0826)  2 Rh 2.78-2.98, 3 Mg 2.93-3.00

***

# 2
Computed, not measured: ZrBiC3 after structural relaxation at the PBE-GGA level of DFT.

Polymorph energy (0 for the lowest one) = 793.0 meV/atom
Density of states at the Fermi level = 0.808 states/eV per atom
Total energy = -5.314 eV/atom
SG = Pm-3m, No. 221
Formation enthalpy at 0 K = 1306 kJ/mol of formula units

Unit cell a=4.3303 b=4.3303 c=4.3303 alpha=90.00 beta=90.00 gamma=90.00
Closest atoms and distances in Å follow each position.
Atoms (fractional coordinates):
C (0.0000, 0.5000, 0.0000)  2 Bi 2.17
Zr (0.5000, 0.5000, 0.5000)  12 C 3.06
C (0.0000, 0.0000, 0.5000)  2 Bi 2.17
Bi (0.0000, 0.0000, 0.0000)  6 C 2.17
C (0.5000, 0.0000, 0.0000)  2 Bi 2.17

***

# 3
Computed, not measured: Zn2Tc after structural relaxation at the PBE-GGA level of DFT.

Polymorph energy (0 for the lowest one) = 124.8 meV/atom
Density of states at the Fermi level = 0.741 states/eV per atom
Total energy = -4.180 eV/atom
SG = Fd-3m, No. 227
Formation enthalpy at 0 K = 36 kJ/mol of formula units

Unit cell a=4.8860 b=4.8860 c=4.8860 alpha=60.00 beta=60.00 gamma=60.00
Closest atoms and distances in Å follow each position.
Atoms (fractional coordinates):
Zn (0.6250, 0.1250, 0.6250)  6 Zn 2.44
Zn (0.6250, 0.6250, 0.6250)  6 Zn 2.44
Tc (0.0000, 0.0000, 0.0000)  12 Zn 2.86, 4 Tc 2.99
Zn (0.6250, 0.6250, 0.1250)  6 Zn 2.44
Tc (0.2500, 0.2500, 0.2500)  12 Zn 2.86, 4 Tc 2.99
Zn (0.1250, 0.6250, 0.6250)  6 Zn 2.44

***

# 4
Computed, not measured: ScFe2HPt after structural relaxation at the PBE-GGA level of DFT.

Density of states at the Fermi level = 0.870 states/eV per atom
Total energy = -6.895 eV/atom
SG = P4/mmm, No. 123

Unit cell a=3.7542 b=3.7542 c=4.2616 alpha=90.00 beta=90.00 gamma=90.00
Closest atoms and distances in Å follow each position.
Atoms (fractional coordinates):
Sc (0.0000, 0.0000, 0.5000)  2 H 2.13
Fe (0.5000, 0.0000, 0.0000)  2 H 1.88
H (0.0000, 0.0000, 0.0000)  4 Fe 1.88
Fe (0.0000, 0.5000, 0.0000)  2 H 1.88
Pt (0.5000, 0.5000, 0.5000)  4 Sc 2.65, 8 Fe 2.84

***

# 5
Computed, not measured: ThZn11Rh after structural relaxation at the PBE-GGA level of DFT.

Density of states at the Fermi level = 0.376 states/eV per atom
Total energy = -2.447 eV/atom
SG = C2/m, No. 12
Formation enthalpy at 0 K = -291 kJ/mol of formula units

Unit cell a=5.1883 b=6.8673 c=6.9029 alpha=81.56 beta=67.93 gamma=67.00
Closest atoms and distances in Å follow each position.
Atoms (fractional coordinates):
Zn (0.0000, 0.0000, 0.5000)  10 Zn 2.59-2.81
Zn (0.0229, 0.6422, 0.3518)  8 Zn 2.62-2.94, 1 Rh 2.70
Zn (0.3748, 0.6422, 0.6482)  8 Zn 2.62-2.94, 1 Rh 2.70
Rh (0.5000, 0.5000, 0.0000)  10 Zn 2.59-2.70
Zn (0.5000, 0.0000, 0.5000)  10 Zn 2.59-2.81
Zn (0.4995, 0.2215, 0.7782)  8 Zn 2.59-2.86, 1 Rh 2.62
Zn (0.6252, 0.3578, 0.3518)  8 Zn 2.62-2.94, 1 Rh 2.70
Zn (0.7223, 0.7785, 0.7782)  8 Zn 2.59-2.86, 1 Rh 2.62
Zn (0.0000, 0.5000, 0.0000)  8 Zn 2.59-2.81, 2 Rh 2.59
Zn (0.2777, 0.2215, 0.2218)  8 Zn 2.59-2.86, 1 Rh 2.62
Th (0.0000, 0.0000, 0.0000)  18 Zn 3.19-3.45, 2 Rh 3.40
Zn (0.5005, 0.7785, 0.2218)  8 Zn 2.59-2.86, 1 Rh 2.62
Zn (0.9771, 0.3578, 0.6482)  8 Zn 2.62-2.94, 1 Rh 2.70

***

# 6
Computed, not measured: TiSiN2 after structural relaxation at the PBE-GGA level of DFT.

Density of states at the Fermi level = 0.007 states/eV per atom
Energy relative to the elements, uncorrected = -770 meV per atom
Total energy = -8.263 eV/atom
SG = R-3m, No. 166

Unit cell a=6.0178 b=6.0178 c=6.0178 alpha=28.75 beta=28.75 gamma=28.75
Closest atoms and distances in Å follow each position.
Atoms (fractional coordinates):
Si (0.0000, 0.0000, 0.0000)  2 N 1.75
Ti (0.5000, 0.5000, 0.5000)  6 N 2.06
N (0.8987, 0.8987, 0.8987)  1 Si 1.75
N (0.1013, 0.1013, 0.1013)  1 Si 1.75